(1)
Here is an optimized crystal structure of Tl2Cd2I7 from Alexandria via LeMat-Bulk. Energies are from PBE.

E (eV/cell): -22.650
Uncorrected formation energy (meV/atom): -476
Calculated volume (Å³ per atom): 50.14

```
11
Lattice="-4.0125 3.8772 -5.0855 -6.4881 -0.7136 5.7502 4.4050 6.8941 2.9557" Properties=species:S:1:pos:R:3 pbc="T T T"
Cd -3.8922 6.8827 3.5657
Cd -2.2034 3.1750 0.0546
Tl 1.1655 4.6317 3.7867
Tl -3.2486 1.5488 4.9191
I -3.8602 5.4218 -0.2870
I 0.4923 3.8113 0.5656
I -3.3814 1.1059 1.5594
I -6.5879 6.2464 3.0547
I -2.0063 1.9386 -2.5428
I -2.2353 4.6359 3.9073
I -2.7142 8.9518 2.0609
```


(2)
Here is an optimized crystal structure of Tl2CdI from Alexandria via LeMat-Bulk. Energies are from PBE.

Excess energy over the best structure of this formula in the dataset (meV per atom): 85
E (eV/cell): -7.526
Uncorrected formation energy (meV/atom): -82
Calculated volume (Å³ per atom): 34.77

```
4
Lattice="0.0000 4.1121 4.1121 4.1121 0.0000 4.1121 4.1121 4.1121 0.0000" Properties=species:S:1:pos:R:3 pbc="T T T"
Tl 6.1681 6.1681 6.1681
Tl 2.0560 2.0560 2.0560
Cd 0.0000 0.0000 0.0000
I 4.1121 4.1121 4.1121
```


Which of these has the highest uncorrected formation energy? Tl2CdI


uncorrected formation energy of number 2 (Tl2CdI)? -82 meV/atom


What is the uncorrected formation energy in the first record? -476 meV/atom